Below is a relaxed TaGaSi2H crystal, with properties calculated at the PBE-GGA level.

Lattice parameters (Å, degrees): 4.3367 4.3367 3.5557 90.00 90.00 90.00
Sites, in units of the cell vectors:
1 Ta 0.0000 0.0000 0.0000
2 Ga 0.5000 0.5000 0.0000
3 Si 0.0000 0.5000 0.5000
4 Si 0.5000 0.0000 0.5000
5 H 0.0000 0.0000 0.5000

Values from the calculation:
The value obtained for the uncorrected energy is -27.4 eV per cell.